1.
DFT (PBEsol) results for a relaxed TlInMo2 crystal.

Values from the calculation:
D(E_F) in states/eV/atom: 0.615
DFT total energy in eV per atom: -6.54
Magnetization in μB per atom: 0.000

abc: 6.614 6.614 6.614
angles: 90.00 90.00 90.00
Atoms (fractional coordinates):
1 Tl 0.000 0.000 0.000
2 Tl 0.000 0.500 0.500
3 Tl 0.500 0.000 0.500
4 Tl 0.500 0.500 0.000
5 In 0.250 0.250 0.750
6 In 0.250 0.750 0.250
7 In 0.750 0.250 0.250
8 In 0.750 0.750 0.750
9 Mo 0.000 0.000 0.500
10 Mo 0.000 0.500 0.000
11 Mo 0.250 0.250 0.250
12 Mo 0.250 0.750 0.750
13 Mo 0.500 0.000 0.000
14 Mo 0.500 0.500 0.500
15 Mo 0.750 0.250 0.750
16 Mo 0.750 0.750 0.250

***

2.
DFT (PBEsol) results for a relaxed MnRu2 crystal.

Values from the calculation:
D(E_F) in states/eV/atom: 1.137
DFT total energy in eV per atom: -9.91
Magnetization in μB per atom: 0.402

abc: 3.672 11.113 3.696
angles: 90.00 90.00 90.00
Atoms (fractional coordinates):
1 Mn 0.000 0.083 0.250
2 Mn 0.000 0.917 0.750
3 Mn 0.500 0.417 0.750
4 Mn 0.500 0.583 0.250
5 Ru 0.000 0.249 0.750
6 Ru 0.000 0.418 0.250
7 Ru 0.000 0.582 0.750
8 Ru 0.000 0.751 0.250
9 Ru 0.500 0.082 0.750
10 Ru 0.500 0.251 0.250
11 Ru 0.500 0.749 0.750
12 Ru 0.500 0.918 0.250

***

3.
DFT (PBEsol) results for a relaxed Ca5CdCu2 crystal.

Values from the calculation:
D(E_F) in states/eV/atom: 0.607
DFT total energy in eV per atom: -2.73
Magnetization in μB per atom: 0.000

abc: 9.095 9.095 9.095
angles: 129.25 129.25 74.62
Atoms (fractional coordinates):
1 Ca 0.000 0.000 0.000
2 Ca 0.029 0.529 0.838
3 Ca 0.191 0.029 0.500
4 Ca 0.309 0.809 0.838
5 Ca 0.471 0.309 0.500
6 Ca 0.500 0.500 0.000
7 Ca 0.529 0.691 0.500
8 Ca 0.691 0.191 0.162
9 Ca 0.809 0.971 0.500
10 Ca 0.971 0.471 0.162
11 Cd 0.250 0.250 0.000
12 Cd 0.750 0.750 0.000
13 Cu 0.113 0.387 0.500
14 Cu 0.387 0.887 0.274
15 Cu 0.613 0.113 0.726
16 Cu 0.887 0.613 0.500

***

4.
DFT (PBEsol) results for a relaxed Bi5Te3O18 crystal.

Values from the calculation:
Uncorrected formation energy in meV per atom: -944
D(E_F) in states/eV/atom: 0.111
DFT total energy in eV per atom: -5.81
Magnetization in μB per atom: 0.036

abc: 9.161 9.161 11.565
angles: 96.31 96.31 59.53
Atoms (fractional coordinates):
1 Bi 0.000 0.000 0.000
2 Bi 0.091 0.242 0.479
3 Bi 0.181 0.070 0.769
4 Bi 0.342 0.392 0.713
5 Bi 0.484 0.191 0.995
6 Bi 0.599 0.401 0.500
7 Bi 0.608 0.658 0.287
8 Bi 0.758 0.909 0.521
9 Bi 0.809 0.516 0.005
10 Bi 0.930 0.819 0.231
11 Te 0.114 0.570 0.448
12 Te 0.130 0.534 0.958
13 Te 0.430 0.886 0.552
14 Te 0.466 0.870 0.042
15 Te 0.764 0.228 0.756
16 Te 0.772 0.236 0.244
17 O 0.034 0.771 0.555
18 O 0.052 0.459 0.081
19 O 0.053 0.750 0.046
20 O 0.060 0.478 0.576
21 O 0.166 0.659 0.329
22 O 0.171 0.355 0.365
23 O 0.195 0.608 0.837
24 O 0.229 0.966 0.445
25 O 0.249 0.297 0.877
26 O 0.250 0.947 0.954
27 O 0.312 0.128 0.626
28 O 0.337 0.484 0.528
29 O 0.341 0.834 0.671
30 O 0.347 0.447 0.051
31 O 0.392 0.805 0.163
32 O 0.412 0.088 0.120
33 O 0.516 0.663 0.472
34 O 0.522 0.940 0.424
35 O 0.541 0.948 0.919
36 O 0.553 0.653 0.949
37 O 0.554 0.418 0.288
38 O 0.582 0.446 0.712
39 O 0.585 0.230 0.845
40 O 0.645 0.829 0.635
41 O 0.660 0.155 0.622
42 O 0.703 0.751 0.123
43 O 0.712 0.137 0.096
44 O 0.765 0.078 0.340
45 O 0.770 0.415 0.155
46 O 0.845 0.340 0.378
47 O 0.863 0.288 0.904
48 O 0.872 0.688 0.374
49 O 0.912 0.588 0.880
50 O 0.922 0.235 0.660
51 O 0.941 0.006 0.796
52 O 0.994 0.059 0.204